V4FeRh | GGA-PBE | optimized geometry

As for the offset from the most stable computed form: 493 meV per atom. For the electronic total energy, the calculation gives -0.618 Ry/atom. The density of states at the Fermi level comes out at 19.49 states/eV/cell. As for the density: 6.61 Mg/m³.

It has space group R-3m (No. 166, hexagonal axes), with a = 3.9503 Å, b = 3.9503 Å, c = 20.2220 Å, α = 90.00°, β = 90.00° and γ = 120.00°. The distinct sites, in fractional coordinates, are V at (0.0000, 0.0000, 0.1137), V at (0.0000, 0.0000, 0.3708), Fe at (0.0000, 0.0000, 0.0000) and Rh at (0.0000, 0.0000, 0.5000).



V3FeRh | GGA-PBE | optimized geometry

As for the offset from the most stable computed form: 0 meV per atom. For the electronic total energy, the calculation gives -0.587 Ry/atom. The density of states at the Fermi level comes out at 8.05 states/eV/cell. As for the density: 6.82 Mg/m³.

It has space group Pm-3m (No. 221), with a = 4.234 Å, b = 4.234 Å, c = 4.234 Å, α = 90.00°, β = 90.00° and γ = 90.00°. The distinct sites, in fractional coordinates, are V at (0.000, 0.000, 0.500), Fe at (0.000, 0.000, 0.000) and Rh at (0.500, 0.500, 0.500).



VFeRh3 | GGA-PBE | optimized geometry

As for the offset from the most stable computed form: 1067 meV per atom. For the electronic total energy, the calculation gives -0.520 Ry/atom. The density of states at the Fermi level comes out at 6.43 states/eV/cell. As for the density: 7.85 Mg/m³.

It has space group Pm-3m (No. 221), with a = 4.447 Å, b = 4.447 Å, c = 4.447 Å, α = 90.00°, β = 90.00° and γ = 90.00°. The distinct sites, in fractional coordinates, are V at (0.000, 0.000, 0.000), Fe at (0.500, 0.500, 0.500) and Rh at (0.000, 0.000, 0.500).



VFeRh6 | GGA-PBE | optimized geometry

For the electronic total energy, the calculation gives -0.583 Ry/atom. The density of states at the Fermi level comes out at 6.09 states/eV/cell. As for the density: 10.90 Mg/m³.

It has space group P4/mmm (No. 123), with a = 3.806 Å, b = 3.806 Å, c = 7.618 Å, α = 90.00°, β = 90.00° and γ = 90.00°. The distinct sites, in fractional coordinates, are V at (0.000, 0.000, 0.000), Fe at (0.000, 0.000, 0.500), Rh at (0.000, 0.500, 0.247), Rh at (0.500, 0.500, 0.000) and Rh at (0.500, 0.500, 0.500).